Record 1
DFT (PBE) results for a relaxed HfTl crystal.

The structure belongs to space group P6_3/m (No. 176); the cell edges are 8.0075, 8.0075 and 5.9079 Å and the angles 90.00°, 90.00° and 120.00°. The inequivalent atoms are Hf at (0.1416, 0.7126, 0.2500) and Tl at (0.1331, 0.7321, 0.7500).

As for the crystal system: hexagonal. For the formation energy, the calculation gives 48.4 kJ per mole of atoms.



Record 2
DFT (PBE) results for a relaxed Ba2NaMg crystal.

The structure belongs to space group R-3m (No. 166, hexagonal axes); the cell edges are 4.0609, 4.0609 and 42.2607 Å and the angles 90.00°, 90.00° and 120.00°. The inequivalent atoms are Ba at (0.0000, 0.0000, 0.0865), Na at (0.0000, 0.0000, 0.5000) and Mg at (0.0000, 0.0000, 0.0000).

As for the crystal system: trigonal. For the formation energy, the calculation gives 31.0 kJ per mole of atoms.



Record 3
DFT (PBE) results for a relaxed MgFe2Hg crystal.

The structure belongs to space group R-3m (No. 166, hexagonal axes); the cell edges are 2.8780, 2.8780 and 27.4785 Å and the angles 90.00°, 90.00° and 120.00°. The inequivalent atoms are Mg at (0.0000, 0.0000, 0.0000), Fe at (0.0000, 0.0000, 0.2516) and Hg at (0.0000, 0.0000, 0.5000).

As for the crystal system: trigonal. For the formation energy, the calculation gives 42.9 kJ per mole of atoms.



Record 4
DFT (PBE) results for a relaxed K5NiS4 crystal.

The structure belongs to space group Immm (No. 71); the cell edges are 3.5183, 8.6659 and 19.3286 Å and the angles 90.00°, 90.00° and 90.00°. The inequivalent atoms are K at (0.0000, 0.0000, 0.0000), K at (0.0000, 0.1981, 0.3370), Ni at (0.0000, 0.5000, 0.0000), S at (0.0000, 0.1676, 0.5000) and S at (0.0000, 0.5000, 0.2631).

The uncorrected formation energy comes out at -727 meV per atom. As for the crystal system: orthorhombic.